# 1
Compound: TlInTc
Source: the Alexandria database
Functional: PBEsol
Structure: relaxed

For the energy relative to the elements, the calculation gives 3.4 eV per formula unit.

The structure belongs to space group F-43m (No. 216); the cell edges are 6.4179, 6.4179 and 6.4179 Å and the angles 90.00°, 90.00° and 90.00°. The asymmetric unit holds Tl at (0.0000, 0.0000, 0.0000), In at (0.2500, 0.2500, 0.2500) and Tc at (0.2500, 0.2500, 0.7500).



# 2
Compound: Y2Ta2Al
Source: the Alexandria database
Functional: PBEsol
Structure: relaxed

For the energy relative to the elements, the calculation gives 4.8 eV per formula unit.

The structure belongs to space group I4/mmm (No. 139); the cell edges are 4.0559, 4.0559 and 14.0269 Å and the angles 90.00°, 90.00° and 90.00°. The asymmetric unit holds Y at (0.0000, 0.5000, 0.2500), Ta at (0.0000, 0.0000, 0.0831) and Al at (0.0000, 0.0000, 0.5000).



# 3
Compound: GeTe2HI
Source: the Alexandria database
Functional: PBEsol
Structure: relaxed

The energy above the most stable polymorph in this dataset is 0.3953 eV/atom.

The structure belongs to space group P4/mmm (No. 123); the cell edges are 5.3692, 5.3692 and 5.7286 Å and the angles 90.00°, 90.00° and 90.00°. The asymmetric unit holds Ge at (0.0000, 0.0000, 0.0000), Te at (0.0000, 0.5000, 0.0000), H at (0.5000, 0.5000, 0.5000) and I at (0.0000, 0.0000, 0.5000).



# 4
Compound: TaMnPt3
Source: the Alexandria database
Functional: PBEsol
Structure: relaxed

For the energy relative to the elements, the calculation gives 5.6 eV per formula unit.

The structure belongs to space group Pm-3m (No. 221); the cell edges are 4.8002, 4.8002 and 4.8002 Å and the angles 90.00°, 90.00° and 90.00°. The asymmetric unit holds Ta at (0.0000, 0.0000, 0.0000), Mn at (0.5000, 0.5000, 0.5000) and Pt at (0.0000, 0.0000, 0.5000).



# 5
Compound: La2NbPd
Source: the Alexandria database
Functional: PBEsol
Structure: relaxed

For the energy relative to the elements, the calculation gives 0.5 eV per formula unit.

The structure belongs to space group Fm-3m (No. 225); the cell edges are 7.2314, 7.2314 and 7.2314 Å and the angles 90.00°, 90.00° and 90.00°. The asymmetric unit holds La at (0.2500, 0.2500, 0.2500), Nb at (0.0000, 0.0000, 0.0000) and Pd at (0.0000, 0.0000, 0.5000).



# 6
Compound: NaTeBrN2
Source: the Alexandria database
Functional: PBEsol
Structure: relaxed

The value obtained for the formation energy from raw total energies is 1.813 eV per atom.

The structure belongs to space group P4/mmm (No. 123); the cell edges are 4.4640, 4.4640 and 6.1466 Å and the angles 90.00°, 90.00° and 90.00°. The asymmetric unit holds Na at (0.0000, 0.0000, 0.0000), Te at (0.0000, 0.0000, 0.5000), Br at (0.5000, 0.5000, 0.5000) and N at (0.0000, 0.5000, 0.0000).



# 7
Compound: MnAlBr2
Source: the Alexandria database
Functional: PBEsol
Structure: relaxed

The value obtained for the formation energy from raw total energies is 0.044 eV per atom. The energy above the most stable polymorph in this dataset is 0.3538 eV/atom.

The structure belongs to space group Cmmm (No. 65); the cell edges are 3.5309, 6.0239 and 9.0919 Å and the angles 90.00°, 90.00° and 90.00°. The asymmetric unit holds Mn at (0.0000, 0.0000, 0.0000), Al at (0.0000, 0.0000, 0.5000) and Br at (0.0000, 0.5000, 0.2010).



# 8
Compound: ScCdBr2
Source: the Alexandria database
Functional: PBEsol
Structure: relaxed

The value obtained for the formation energy from raw total energies is -0.996 eV per atom. The energy above the most stable polymorph in this dataset is 0.0000 eV/atom.

The structure belongs to space group R-3m (No. 166, hexagonal axes); the cell edges are 3.5565, 3.5565 and 29.2023 Å and the angles 90.00°, 90.00° and 120.00°. The asymmetric unit holds Sc at (0.0000, 0.0000, 0.0000), Cd at (0.0000, 0.0000, 0.5000) and Br at (0.0000, 0.0000, 0.2742).



# 9
Compound: PmMg16Al12
Source: the Alexandria database
Functional: PBEsol
Structure: relaxed

For the energy relative to the elements, the calculation gives -2.0 eV per formula unit.

The structure belongs to space group I-43m (No. 217); the cell edges are 10.4893, 10.4893 and 10.4893 Å and the angles 90.00°, 90.00° and 90.00°. The asymmetric unit holds Pm at (0.0000, 0.0000, 0.0000), Mg at (0.0390, 0.3585, 0.3585), Mg at (0.1800, 0.1800, 0.8200) and Al at (0.0909, 0.0909, 0.2781).



# 10
Compound: CsAs2PtCl
Source: the Alexandria database
Functional: PBEsol
Structure: relaxed

The value obtained for the formation energy from raw total energies is 1.939 eV per atom.

The structure belongs to space group P4/mmm (No. 123); the cell edges are 5.6837, 5.6837 and 5.4891 Å and the angles 90.00°, 90.00° and 90.00°. The asymmetric unit holds Cs at (0.0000, 0.0000, 0.0000), As at (0.0000, 0.5000, 0.0000), Pt at (0.5000, 0.5000, 0.5000) and Cl at (0.0000, 0.0000, 0.5000).



# 11
Compound: Ta2MnIn
Source: the Alexandria database
Functional: PBEsol
Structure: relaxed

For the energy relative to the elements, the calculation gives 0.1 eV per formula unit.

The structure belongs to space group P4/mmm (No. 123); the cell edges are 2.9298, 2.9298 and 7.7286 Å and the angles 90.00°, 90.00° and 90.00°. The asymmetric unit holds Ta at (0.0000, 0.0000, 0.2012), Mn at (0.5000, 0.5000, 0.0000) and In at (0.5000, 0.5000, 0.5000).



# 12
Compound: LaTlNi3
Source: the Alexandria database
Functional: PBEsol
Structure: relaxed

For the energy relative to the elements, the calculation gives 2.8 eV per formula unit. The energy above the most stable polymorph in this dataset is 0.0000 eV/atom.

The structure belongs to space group Pm-3m (No. 221); the cell edges are 4.7112, 4.7112 and 4.7112 Å and the angles 90.00°, 90.00° and 90.00°. The asymmetric unit holds La at (0.0000, 0.0000, 0.0000), Tl at (0.5000, 0.5000, 0.5000) and Ni at (0.0000, 0.5000, 0.5000).



# 13
Compound: Be2AlCoAu
Source: the Alexandria database
Functional: PBEsol
Structure: relaxed

For the energy relative to the elements, the calculation gives 5.2 eV per formula unit.

The structure belongs to space group P4/mmm (No. 123); the cell edges are 4.1666, 4.1666 and 4.1267 Å and the angles 90.00°, 90.00° and 90.00°. The asymmetric unit holds Be at (0.0000, 0.5000, 0.0000), Al at (0.0000, 0.0000, 0.0000), Co at (0.0000, 0.0000, 0.5000) and Au at (0.5000, 0.5000, 0.5000).



# 14
Compound: Zr2SN2
Source: the Alexandria database
Functional: PBEsol
Structure: relaxed

The value obtained for the formation energy from raw total energies is -1.861 eV per atom.

The structure belongs to space group P6_3/mmc (No. 194); the cell edges are 3.5951, 3.5951 and 12.7193 Å and the angles 90.00°, 90.00° and 120.00°. The asymmetric unit holds Zr at (0.3333, 0.6667, 0.1028), S at (0.0000, 0.0000, 0.2500) and N at (0.3333, 0.6667, 0.5683).



# 15
Compound: LaY
Source: the Alexandria database
Functional: PBEsol
Structure: relaxed

For the energy relative to the elements, the calculation gives 0.1 eV per formula unit. The energy above the most stable polymorph in this dataset is 0.0282 eV/atom.

The structure belongs to space group P-3m1 (No. 164); the cell edges are 3.5943, 3.5943 and 11.6471 Å and the angles 90.00°, 90.00° and 120.00°. The asymmetric unit holds La at (0.3333, 0.6667, 0.3680) and Y at (0.3333, 0.6667, 0.8810).



# 16
Compound: ScAlSb2
Source: the Alexandria database
Functional: PBEsol
Structure: relaxed

The value obtained for the formation energy from raw total energies is -0.193 eV per atom. The energy above the most stable polymorph in this dataset is 0.0341 eV/atom.

The structure belongs to space group Cmm2 (No. 35); the cell edges are 4.0927, 4.9860 and 9.0253 Å and the angles 90.00°, 90.00° and 90.00°. The asymmetric unit holds Sc at (0.0000, 0.0000, 0.0000), Al at (0.0000, 0.5000, 0.7831), Sb at (0.0000, 0.0000, 0.5644) and Sb at (0.0000, 0.5000, 0.2351).



# 17
Compound: Tc2IrW
Source: the Alexandria database
Functional: PBEsol
Structure: relaxed

For the energy relative to the elements, the calculation gives 0.4 eV per formula unit. The energy above the most stable polymorph in this dataset is 0.2227 eV/atom.

The structure belongs to space group R-3m (No. 166, hexagonal axes); the cell edges are 2.7279, 2.7279 and 27.0012 Å and the angles 90.00°, 90.00° and 120.00°. The asymmetric unit holds Tc at (0.0000, 0.0000, 0.2484), Ir at (0.0000, 0.0000, 0.5000) and W at (0.0000, 0.0000, 0.0000).



# 18
Compound: LiNF2
Source: the Alexandria database
Functional: PBEsol
Structure: relaxed

The value obtained for the formation energy from raw total energies is -0.273 eV per atom.

The structure belongs to space group I-42d (No. 122); the cell edges are 3.9245, 3.9245 and 11.4825 Å and the angles 90.00°, 90.00° and 90.00°. The asymmetric unit holds Li at (0.0000, 0.0000, 0.0000), N at (0.0000, 0.0000, 0.5000) and F at (0.2429, 0.2500, 0.1250).



# 19
Compound: CrHgMo2
Source: the Alexandria database
Functional: PBEsol
Structure: relaxed

For the energy relative to the elements, the calculation gives 1.5 eV per formula unit.

The structure belongs to space group Cmm2 (No. 35); the cell edges are 3.1474, 4.4485 and 8.8668 Å and the angles 90.00°, 90.00° and 90.00°. The asymmetric unit holds Cr at (0.0000, 0.0000, 0.0000), Hg at (0.0000, 0.5000, 0.2599), Mo at (0.0000, 0.0000, 0.5397) and Mo at (0.0000, 0.5000, 0.7830).



# 20
Compound: Sr2CuS2F
Source: the Alexandria database
Functional: PBEsol
Structure: relaxed

The value obtained for the formation energy from raw total energies is -0.721 eV per atom.

The structure belongs to space group P4/mmm (No. 123); the cell edges are 4.1164, 4.1164 and 13.9485 Å and the angles 90.00°, 90.00° and 90.00°. The asymmetric unit holds Sr at (0.0000, 0.0000, 0.1639), Cu at (0.0000, 0.0000, 0.5000), S at (0.0000, 0.0000, 0.3535) and F at (0.0000, 0.0000, 0.0000).